[1]
Entry from Alexandria: AlNi12Ir3 after structural relaxation (GGA-PBE).

Summary:
- final energy (Ha/atom) = -0.2323
- D(E_F) (states/eV/cell) = 53.14
- DFT formation energy (eV/atom) = -0.09

Lattice parameters (Å, degrees): 7.2170 7.2170 7.2170 89.98 89.98 89.98
With the nearest neighbours (Å) after each atom.
Fractional coordinates of all 32 atoms:
Al  0.2500  0.2500  0.2500  9 Ni 2.56, 3 Ir 2.56
Al  0.7500  0.7500  0.7500  9 Ni 2.56, 3 Ir 2.56
Ni  0.0008  0.0009  0.7532  9 Ni 2.51-2.58, 2 Ir 2.56-2.58, 1 Al 2.56
Ni  0.0013  0.7500  0.4987  7 Ni 2.52-2.58, 4 Ir 2.54-2.56, 1 Al 2.56
Ni  0.0009  0.7532  0.0008  9 Ni 2.51-2.58, 2 Ir 2.56-2.58, 1 Al 2.56
Ni  0.2468  0.9992  0.9991  9 Ni 2.51-2.58, 2 Ir 2.56-2.58, 1 Al 2.56
Ni  0.2484  0.7500  0.2516  9 Ni 2.52-2.56, 3 Ir 2.54-2.55
Ni  0.2500  0.5013  0.9987  7 Ni 2.52-2.58, 4 Ir 2.54-2.56, 1 Al 2.56
Ni  0.2500  0.7484  0.7516  9 Ni 2.52-2.56, 3 Ir 2.54-2.55
Ni  0.2516  0.2484  0.7500  9 Ni 2.52-2.56, 3 Ir 2.54-2.55
Ni  0.2532  0.5009  0.5008  9 Ni 2.51-2.58, 2 Ir 2.56-2.58, 1 Al 2.56
Ni  0.4987  0.0013  0.7500  7 Ni 2.52-2.58, 4 Ir 2.54-2.56, 1 Al 2.56
Ni  0.4991  0.4992  0.7468  9 Ni 2.51-2.58, 2 Ir 2.56-2.58, 1 Al 2.56
Ni  0.4992  0.7468  0.4991  9 Ni 2.51-2.58, 2 Ir 2.56-2.58, 1 Al 2.56
Ni  0.5008  0.2532  0.5009  9 Ni 2.51-2.58, 2 Ir 2.56-2.58, 1 Al 2.56
Ni  0.5009  0.5008  0.2532  9 Ni 2.51-2.58, 2 Ir 2.56-2.58, 1 Al 2.56
Ni  0.5013  0.9987  0.2500  7 Ni 2.52-2.58, 4 Ir 2.54-2.56, 1 Al 2.56
Ni  0.7468  0.4991  0.4992  9 Ni 2.51-2.58, 2 Ir 2.56-2.58, 1 Al 2.56
Ni  0.7484  0.7516  0.2500  9 Ni 2.52-2.56, 3 Ir 2.54-2.55
Ni  0.7500  0.2516  0.2484  9 Ni 2.52-2.56, 3 Ir 2.54-2.55
Ni  0.7500  0.4987  0.0013  7 Ni 2.52-2.58, 4 Ir 2.54-2.56, 1 Al 2.56
Ni  0.7516  0.2500  0.7484  9 Ni 2.52-2.56, 3 Ir 2.54-2.55
Ni  0.7532  0.0008  0.0009  9 Ni 2.51-2.58, 2 Ir 2.56-2.58, 1 Al 2.56
Ni  0.9991  0.2468  0.9992  9 Ni 2.51-2.58, 2 Ir 2.56-2.58, 1 Al 2.56
Ni  0.9987  0.2500  0.5013  7 Ni 2.52-2.58, 4 Ir 2.54-2.56, 1 Al 2.56
Ni  0.9992  0.9991  0.2468  9 Ni 2.51-2.58, 2 Ir 2.56-2.58, 1 Al 2.56
Ir  0.0012  0.4988  0.7500  11 Ni 2.54-2.58, 1 Al 2.56
Ir  0.2500  0.9988  0.5012  11 Ni 2.54-2.58, 1 Al 2.56
Ir  0.4988  0.7500  0.0013  11 Ni 2.54-2.58, 1 Al 2.56
Ir  0.5012  0.2500  0.9988  11 Ni 2.54-2.58, 1 Al 2.56
Ir  0.7500  0.0012  0.4988  11 Ni 2.54-2.58, 1 Al 2.56
Ir  0.9988  0.5013  0.2500  11 Ni 2.54-2.58, 1 Al 2.56

---

[2]
Entry from Alexandria: YSc3Rh after structural relaxation (GGA-PBE).

Summary:
- final energy (Ha/atom) = -0.1966
- D(E_F) (states/eV/cell) = 3.29
- DFT formation energy (eV/atom) = 1.21

Lattice parameters (Å, degrees): 4.9311 4.9311 4.9311 90.00 90.00 90.00
With the nearest neighbours (Å) after each atom.
Fractional coordinates of all 5 atoms:
Y  0.0000  0.0000  0.0000  6 Sc 2.47
Sc  0.0000  0.0000  0.5000  2 Y 2.47
Sc  0.0000  0.5000  0.0000  2 Y 2.47
Sc  0.5000  0.0000  0.0000  2 Y 2.47
Rh  0.5000  0.5000  0.5000  12 Sc 3.49

---

[3]
Entry from Alexandria: K2PrGeO4 after structural relaxation (GGA-PBE).

Summary:
- final energy (Ha/atom) = -0.2143
- D(E_F) (states/eV/cell) = 1.30
- raw formation energy (eV/atom) = -1.905

Lattice parameters (Å, degrees): 5.9487 5.9487 5.9487 114.39 114.39 100.03
With the nearest neighbours (Å) after each atom.
Fractional coordinates of all 8 atoms:
K  0.0000  0.0000  0.0000  4 O 2.83
K  0.7500  0.2500  0.5000  8 O 3.10-3.34
Pr  0.5000  0.5000  0.0000  4 O 2.33
Ge  0.2500  0.7500  0.5000  4 O 1.80
O  0.2668  0.7056  0.1900  1 Ge 1.80
O  0.2944  0.4844  0.5612  1 Ge 1.80
O  0.5156  0.0768  0.8100  1 Ge 1.80
O  0.9232  0.7332  0.4388  1 Ge 1.80